Computed, not measured: a relaxed AcTaNbOs2 crystal at the PBE level of DFT.

## Properties
- D(E_F) (states/eV/cell) = 3.61
- size of the total moment (μB per formula unit) = 0.0
- energy relative to the elements (eV per atom) = -0.220
- theoretical density (g cm⁻³) = 13.37

Cell: 4.4655 4.4655 6.3333 Å, 110.64 110.64 90.00°
With the nearest neighbours (Å) after each atom.
Sites, in units of the cell vectors:
Ac (0.0000, 0.0000, 0.0000)  8 Os 3.43, 4 Ta 3.54, 4 Nb 3.54
Ta (0.2500, 0.7500, 0.5000)  4 Os 2.64
Nb (0.7500, 0.2500, 0.5000)  4 Os 2.64
Os (0.6225, 0.6225, 0.2450)  2 Ta 2.64, 2 Nb 2.64, 1 Os 2.69
Os (0.3775, 0.3775, 0.7550)  2 Ta 2.64, 2 Nb 2.64, 1 Os 2.69

***

Computed, not measured: a relaxed Hf3CrB crystal at the PBE level of DFT.

## Properties
- D(E_F) (states/eV/cell) = 8.49
- size of the total moment (μB per formula unit) = 0.0
- energy relative to the elements (eV per atom) = 0.270
- distance to the lowest polymorph of the same formula (meV/atom) = 0
- theoretical density (g cm⁻³) = 10.82

Cell: 4.5117 4.5117 4.5117 Å, 90.00 90.00 90.00°
With the nearest neighbours (Å) after each atom.
Sites, in units of the cell vectors:
Cr (0.5000, 0.5000, 0.5000)  12 Hf 3.19
B (0.0000, 0.0000, 0.0000)  6 Hf 2.26
Hf (0.0000, 0.5000, 0.0000)  2 B 2.26
Hf (0.0000, 0.0000, 0.5000)  2 B 2.26
Hf (0.5000, 0.0000, 0.0000)  2 B 2.26